Nd2Al3ZnAg4 | GGA-PBE | relaxed

Summary:
Symmetry: P-4m2
Magnetic moment: 0.000 μB per cell
Raw total energy: -0.134 Ha/atom
Formation energy from the elements: -29.1 kJ/mol of atoms

a = 4.4157 Å, b = 4.4157 Å, c = 10.7501 Å
α = 90.00°, β = 90.00°, γ = 90.00°
Positions (direct):
Nd 0.5000 0.0000 0.2516
Nd 0.0000 0.5000 0.7484
Al 0.0000 0.0000 0.5000
Al 0.5000 0.0000 0.8664
Al 0.0000 0.5000 0.1336
Zn 0.5000 0.5000 0.5000
Ag 0.5000 0.5000 0.0000
Ag 0.0000 0.0000 0.0000
Ag 0.5000 0.0000 0.6318
Ag 0.0000 0.5000 0.3682